1.
# PBE ThPaRe, optimized geometry
# ΔE to the lowest computed polymorph = 0.000 eV per atom
# E_form = -1 meV/atom
data_ThPaRe
_symmetry_space_group_name_H-M 'I m m a'
_symmetry_Int_Tables_number 74
_symmetry_space_group_name_Hall '-I 2b 2'
_cell_length_a 5.963
_cell_length_b 6.172
_cell_length_c 7.725
_cell_angle_alpha 90.00
_cell_angle_beta 90.00
_cell_angle_gamma 90.00
loop_
_atom_site_label
_atom_site_type_symbol
_atom_site_fract_x
_atom_site_fract_y
_atom_site_fract_z
Th1 Th 0.000 0.250 0.112
Pa1 Pa 0.000 0.000 0.500
Re1 Re 0.250 0.250 0.750

---

2.
# PBE ThPaTlRe, optimized geometry
# E_form = -55 meV/atom
data_ThPaTlRe
_symmetry_space_group_name_H-M 'P 4 m m'
_symmetry_Int_Tables_number 99
_symmetry_space_group_name_Hall 'P 4 -2'
_cell_length_a 3.342
_cell_length_b 3.342
_cell_length_c 8.958
_cell_angle_alpha 90.00
_cell_angle_beta 90.00
_cell_angle_gamma 90.00
loop_
_atom_site_label
_atom_site_type_symbol
_atom_site_fract_x
_atom_site_fract_y
_atom_site_fract_z
Th1 Th 0.000 0.000 0.000
Pa1 Pa 0.000 0.000 0.589
Tl1 Tl 0.500 0.500 0.299
Re1 Re 0.500 0.500 0.778

---

3.
# PBE PaTiRe4, optimized geometry
# E_form = -53 meV/atom
data_PaTiRe4
_symmetry_space_group_name_H-M 'F -4 3 m'
_symmetry_Int_Tables_number 216
_symmetry_space_group_name_Hall 'F -4 2 3'
_cell_length_a 7.543
_cell_length_b 7.543
_cell_length_c 7.543
_cell_angle_alpha 90.00
_cell_angle_beta 90.00
_cell_angle_gamma 90.00
loop_
_atom_site_label
_atom_site_type_symbol
_atom_site_fract_x
_atom_site_fract_y
_atom_site_fract_z
Pa1 Pa 0.000 0.000 0.000
Ti1 Ti 0.250 0.250 0.750
Re1 Re 0.124 0.124 0.376

---

4.
# PBE PaTi2Re, optimized geometry
# ΔE to the lowest computed polymorph = 0.000 eV per atom
# E_form = -141 meV/atom
data_PaTi2Re
_symmetry_space_group_name_H-M 'P 4/m m m'
_symmetry_Int_Tables_number 123
_symmetry_space_group_name_Hall '-P 4 2'
_cell_length_a 3.112
_cell_length_b 3.112
_cell_length_c 7.642
_cell_angle_alpha 90.00
_cell_angle_beta 90.00
_cell_angle_gamma 90.00
loop_
_atom_site_label
_atom_site_type_symbol
_atom_site_fract_x
_atom_site_fract_y
_atom_site_fract_z
Pa1 Pa 0.000 0.000 0.000
Ti1 Ti 0.500 0.500 0.304
Re1 Re 0.000 0.000 0.500

---

5.
# PBE PaTi2Re, optimized geometry
# ΔE to the lowest computed polymorph = 0.071 eV per atom
# E_form = -70 meV/atom
data_PaTi2Re
_symmetry_space_group_name_H-M 'F m -3 m'
_symmetry_Int_Tables_number 225
_symmetry_space_group_name_Hall '-F 4 2 3'
_cell_length_a 6.533
_cell_length_b 6.533
_cell_length_c 6.533
_cell_angle_alpha 90.00
_cell_angle_beta 90.00
_cell_angle_gamma 90.00
loop_
_atom_site_label
_atom_site_type_symbol
_atom_site_fract_x
_atom_site_fract_y
_atom_site_fract_z
Pa1 Pa 0.000 0.000 0.000
Ti1 Ti 0.250 0.250 0.250
Re1 Re 0.000 0.000 0.500

---

6.
# PBE PaTiReW, optimized geometry
# E_form = -14 meV/atom
data_PaTiReW
_symmetry_space_group_name_H-M 'F -4 3 m'
_symmetry_Int_Tables_number 216
_symmetry_space_group_name_Hall 'F -4 2 3'
_cell_length_a 6.601
_cell_length_b 6.601
_cell_length_c 6.601
_cell_angle_alpha 90.00
_cell_angle_beta 90.00
_cell_angle_gamma 90.00
loop_
_atom_site_label
_atom_site_type_symbol
_atom_site_fract_x
_atom_site_fract_y
_atom_site_fract_z
Pa1 Pa 0.000 0.000 0.000
Ti1 Ti 0.000 0.000 0.500
Re1 Re 0.250 0.250 0.250
W1 W 0.250 0.250 0.750